Computed, not measured: a relaxed structure of HfCuRhPb2 at the GGA-PBE level of DFT.

Values from the calculation:
- crystal system = tetragonal
- ρ (g/cm³) = 10.1
- polymorph energy (0 for the lowest one) (meV per atom) = 137.3
- ΔH_f (0 K) (eV/atom) = 0.69
- space group = P4/mmm, No. 123
- M_tot (μB/atom) = 0.000

a = 5.121 Å, b = 4.745 Å, c = 5.121 Å
α = 90.00°, β = 90.00°, γ = 90.00°
Fractional positions:
Pb (0.000, 0.000, 0.500)
Pb (0.500, 0.000, 0.000)
Rh (0.000, 0.000, 0.000)
Hf (0.500, 0.500, 0.500)
Cu (0.000, 0.500, 0.000)



Computed, not measured: a relaxed structure of RbMn2I7 at the GGA-PBE level of DFT.

Values from the calculation:
- crystal system = orthorhombic
- energy relative to the elements, uncorrected (meV/atom) = -437
- ρ (g/cm³) = 4.3
- space group = Cmmm, No. 65
- M_tot (μB/atom) = 0.799

a = 5.575 Å, b = 9.846 Å, c = 9.846 Å
α = 129.28°, β = 90.00°, γ = 90.00°
Fractional positions:
Rb (0.000, 0.000, 0.000)
Mn (0.500, 0.742, 0.258)
Mn (0.500, 0.258, 0.742)
I (0.000, 0.732, 0.268)
I (0.000, 0.268, 0.732)
I (0.500, 0.082, 0.365)
I (0.500, 0.918, 0.635)
I (0.500, 0.365, 0.082)
I (0.500, 0.635, 0.918)
I (0.500, 0.500, 0.500)



Computed, not measured: a relaxed structure of CdSiRh2 at the GGA-PBE level of DFT.

Values from the calculation:
- crystal system = trigonal
- energy relative to the elements, uncorrected (meV/atom) = -440
- ρ (g/cm³) = 9.4
- space group = R-3m, No. 166
- M_tot (μB/atom) = 0.000

a = 8.585 Å, b = 8.585 Å, c = 8.585 Å
α = 19.46°, β = 19.46°, γ = 19.46°
Fractional positions:
Cd (0.750, 0.750, 0.750)
Rh (0.986, 0.986, 0.986)
Rh (0.514, 0.514, 0.514)
Si (0.250, 0.250, 0.250)